Record 1
First-principles (PBE-GGA) data for crystalline CuMoAs2 at its relaxed geometry, as listed in Alexandria via LeMat-Bulk.

D(E_F) ... 0.97 states/eV per atom
Energy above the most stable polymorph in this dataset ... 310.0 meV per atom

CIF file:
```
data_CuMoAs2
_chemical_formula_sum 'Cu4 Mo4 As8'
_cell_length_a 6.292
_cell_length_b 6.292
_cell_length_c 6.292
_cell_angle_alpha 90.00
_cell_angle_beta 90.00
_cell_angle_gamma 90.00
_symmetry_space_group_name_H-M 'F m -3 m'
_symmetry_Int_Tables_number 225
_symmetry_space_group_name_Hall '-F 4 2 3'
loop_
_atom_site_label
_atom_site_type_symbol
_atom_site_fract_x
_atom_site_fract_y
_atom_site_fract_z
Cu1 Cu 0.000 0.000 0.000
Mo1 Mo 0.000 0.000 0.500
As1 As 0.250 0.250 0.250
```

Record 2
First-principles (PBE-GGA) data for crystalline Si3IrF at its relaxed geometry, as listed in Alexandria via LeMat-Bulk.

D(E_F) ... 0.93 states/eV per atom
Uncorrected formation energy ... 0.37 eV per formula unit
Energy above the most stable polymorph in this dataset ... 0.0 meV per atom

CIF file:
```
data_Si3IrF
_chemical_formula_sum 'Si3 Ir1 F1'
_cell_length_a 4.645
_cell_length_b 4.645
_cell_length_c 4.645
_cell_angle_alpha 90.00
_cell_angle_beta 90.00
_cell_angle_gamma 90.00
_symmetry_space_group_name_H-M 'P m -3 m'
_symmetry_Int_Tables_number 221
_symmetry_space_group_name_Hall '-P 4 2 3'
loop_
_atom_site_label
_atom_site_type_symbol
_atom_site_fract_x
_atom_site_fract_y
_atom_site_fract_z
Si1 Si 0.000 0.000 0.500
Ir1 Ir 0.000 0.000 0.000
F1 F 0.500 0.500 0.500
```

Record 3
First-principles (PBE-GGA) data for crystalline La4SCl5 at its relaxed geometry, as listed in Alexandria via LeMat-Bulk.

D(E_F) ... 0.25 states/eV per atom
Uncorrected formation energy ... -20.60 eV per formula unit
Energy above the most stable polymorph in this dataset ... 0.0 meV per atom

CIF file:
```
data_La4SCl5
_chemical_formula_sum 'La8 S2 Cl10'
_cell_length_a 18.205
_cell_length_b 4.072
_cell_length_c 8.403
_cell_angle_alpha 90.00
_cell_angle_beta 105.04
_cell_angle_gamma 90.00
_symmetry_space_group_name_H-M 'C 1 2/m 1'
_symmetry_Int_Tables_number 12
_symmetry_space_group_name_Hall '-C 2y'
loop_
_atom_site_label
_atom_site_type_symbol
_atom_site_fract_x
_atom_site_fract_y
_atom_site_fract_z
La1 La 0.002 0.000 0.272
La2 La 0.155 0.500 0.592
S1 S 0.000 0.500 0.500
Cl1 Cl 0.000 0.500 0.000
Cl2 Cl 0.164 0.000 0.843
Cl3 Cl 0.172 0.000 0.343
```

Record 4
First-principles (PBE-GGA) data for crystalline Dy5Ga5Ru2 at its relaxed geometry, as listed in Alexandria via LeMat-Bulk.

D(E_F) ... 0.77 states/eV per atom

CIF file:
```
data_Dy5Ga5Ru2
_chemical_formula_sum 'Dy10 Ga10 Ru4'
_cell_length_a 15.106
_cell_length_b 4.366
_cell_length_c 10.545
_cell_angle_alpha 90.00
_cell_angle_beta 131.00
_cell_angle_gamma 90.00
_symmetry_space_group_name_H-M 'C 1 2/m 1'
_symmetry_Int_Tables_number 12
_symmetry_space_group_name_Hall '-C 2y'
loop_
_atom_site_label
_atom_site_type_symbol
_atom_site_fract_x
_atom_site_fract_y
_atom_site_fract_z
Dy1 Dy 0.000 0.000 0.000
Dy2 Dy 0.121 0.000 0.424
Dy3 Dy 0.190 0.000 0.825
Ga1 Ga 0.000 0.500 0.500
Ga2 Ga 0.055 0.500 0.840
Ga3 Ga 0.240 0.500 0.688
Ru1 Ru 0.151 0.500 0.250
```

no.,E (eV per cell)
1,-92.22
2,-26.64
3,-107.35
4,-126.28